No. 1
Here is an optimized crystal structure of Li5Fe2Cu5O12 from the Alexandria database. Energies are from PBE+U.

Computed properties:
Total energy (eV per atom): -5.332
Mass density (g/cm³): 5.01
Crystal system: monoclinic
Space group: C2, No. 5

Cell lengths 5.1248, 5.1248, 9.8194 Å; angles 95.28, 95.28, 120.90 degrees
Positions (direct):
Li (0.0000, 0.0000, 0.0000)
Li (0.2514, 0.2406, 0.7551)
Li (0.4191, 0.0864, 0.2430)
Li (0.7594, 0.7486, 0.2449)
Li (0.9136, 0.5809, 0.7570)
Fe (0.3413, 0.6587, 0.0000)
Fe (0.8356, 0.1644, 0.5000)
Cu (0.0918, 0.4140, 0.2452)
Cu (0.1666, 0.8334, 0.5000)
Cu (0.5030, 0.4970, 0.5000)
Cu (0.5860, 0.9082, 0.7548)
Cu (0.6687, 0.3313, 0.0000)
O (0.0608, 0.6820, 0.1188)
O (0.1246, 0.1454, 0.3736)
O (0.2103, 0.5326, 0.6234)
O (0.3180, 0.9392, 0.8812)
O (0.3896, 0.3914, 0.1134)
O (0.4674, 0.7897, 0.3766)
O (0.5319, 0.1914, 0.6137)
O (0.6086, 0.6104, 0.8866)
O (0.7137, 0.0576, 0.1243)
O (0.8086, 0.4681, 0.3863)
O (0.8546, 0.8754, 0.6264)
O (0.9424, 0.2863, 0.8757)



No. 2
Here is an optimized crystal structure of Li2Fe3CuO8 from the Alexandria database. Energies are from PBE+U.

Computed properties:
Total energy (eV per atom): -5.705
Energy relative to the lowest polymorph listed for this composition (eV/atom): 0.1078
Mass density (g/cm³): 4.45
Crystal system: cubic
Space group: P2_13, No. 198

Cell lengths 8.2287, 8.2287, 8.2287 Å; angles 90.00, 90.00, 90.00 degrees
Positions (direct):
Li (0.1227, 0.1227, 0.1227)
Li (0.2471, 0.7529, 0.2529)
Li (0.2529, 0.2471, 0.7529)
Li (0.3773, 0.8773, 0.6227)
Li (0.6227, 0.3773, 0.8773)
Li (0.7471, 0.7471, 0.7471)
Li (0.7529, 0.2529, 0.2471)
Li (0.8773, 0.6227, 0.3773)
Fe (0.1199, 0.8737, 0.8767)
Fe (0.1233, 0.6199, 0.6263)
Fe (0.1263, 0.3767, 0.3801)
Fe (0.3737, 0.6233, 0.8801)
Fe (0.3767, 0.3801, 0.1263)
Fe (0.3801, 0.1263, 0.3767)
Fe (0.6199, 0.6263, 0.1233)
Fe (0.6233, 0.8801, 0.3737)
Fe (0.6263, 0.1233, 0.6199)
Fe (0.8737, 0.8767, 0.1199)
Fe (0.8767, 0.1199, 0.8737)
Fe (0.8801, 0.3737, 0.6233)
Cu (0.0069, 0.9931, 0.4931)
Cu (0.4931, 0.0069, 0.9931)
Cu (0.5069, 0.5069, 0.5069)
Cu (0.9931, 0.4931, 0.0069)
O (0.1016, 0.8709, 0.1034)
O (0.1034, 0.1016, 0.8709)
O (0.1157, 0.3843, 0.6157)
O (0.1232, 0.8528, 0.6412)
O (0.1291, 0.6034, 0.3984)
O (0.1350, 0.6350, 0.8650)
O (0.1412, 0.3768, 0.1472)
O (0.1472, 0.1412, 0.3768)
O (0.3528, 0.8588, 0.8768)
O (0.3588, 0.6232, 0.6472)
O (0.3650, 0.3650, 0.3650)
O (0.3709, 0.3966, 0.8984)
O (0.3768, 0.1472, 0.1412)
O (0.3843, 0.6157, 0.1157)
O (0.3966, 0.8984, 0.3709)
O (0.3984, 0.1291, 0.6034)
O (0.6016, 0.6291, 0.8966)
O (0.6034, 0.3984, 0.1291)
O (0.6157, 0.1157, 0.3843)
O (0.6232, 0.6472, 0.3588)
O (0.6291, 0.8966, 0.6016)
O (0.6350, 0.8650, 0.1350)
O (0.6412, 0.1232, 0.8528)
O (0.6472, 0.3588, 0.6232)
O (0.8528, 0.6412, 0.1232)
O (0.8588, 0.8768, 0.3528)
O (0.8650, 0.1350, 0.6350)
O (0.8709, 0.1034, 0.1016)
O (0.8768, 0.3528, 0.8588)
O (0.8843, 0.8843, 0.8843)
O (0.8966, 0.6016, 0.6291)
O (0.8984, 0.3709, 0.3966)



No. 3
Here is an optimized crystal structure of Li2FeCu2O6 from the Alexandria database. Energies are from PBE+U.

Computed properties:
Total energy (eV per atom): -5.274
Mass density (g/cm³): 4.50
Crystal system: monoclinic
Space group: C2/m, No. 12

Cell lengths 6.6889, 6.6889, 5.8904 Å; angles 104.05, 104.05, 25.02 degrees
Positions (direct):
Li (0.1570, 0.1570, 0.3141)
Li (0.8430, 0.8430, 0.6859)
Fe (0.5000, 0.5000, 0.5000)
Cu (0.1640, 0.1640, 0.8380)
Cu (0.8360, 0.8360, 0.1620)
O (0.0032, 0.0032, 0.7162)
O (0.3213, 0.3213, 0.9219)
O (0.3468, 0.3468, 0.4097)
O (0.6532, 0.6532, 0.5903)
O (0.6787, 0.6787, 0.0781)
O (0.9968, 0.9968, 0.2838)